Dy2Ge5Ir3: optimized geometry, PBE.

extended XYZ file:
```
20
Lattice="-3.4836 -2.7459 -4.0550 -0.9545 -8.1147 1.8614 -4.6320 4.0050 5.7208" Properties=species:S:1:pos:R:3 pbc="T T T"
Ir -3.1914 -0.2631 2.9199
Ir -5.8786 -6.5925 0.6074
Ir -2.8941 -4.3053 0.9481
Ir -6.1760 -2.5502 2.5792
Ir -2.6127 -2.0594 -3.0412
Ir -0.8709 -0.6865 -1.0137
Ge -1.9475 -2.9598 -0.7763
Ge -1.6098 0.2513 1.2129
Ge -7.1226 -3.8958 4.3036
Ge -7.4602 -7.1068 2.3144
Ge -5.4059 -4.1143 0.7499
Ge -5.1637 -8.0843 -1.2234
Ge -3.4219 -6.7113 0.8041
Ge -3.9063 1.2287 4.7507
Ge -5.6482 -0.1442 2.7232
Ge -3.6641 -2.7413 2.7774
Dy -4.8403 -5.6170 3.5084
Dy -4.2298 -1.2385 0.0189
Dy -5.0203 -1.7284 5.4834
Dy -4.0498 -5.1271 -1.9561
```

---

Dy6GeIr2: optimized geometry, PBE.

extended XYZ file:
```
9
Lattice="7.5393 0.0000 0.0000 -3.7697 6.5293 0.0000 0.0000 0.0000 4.5520" Properties=species:S:1:pos:R:3 pbc="T T T"
Ge 0.0000 0.0000 2.2760
Dy -1.5518 2.6878 2.2760
Dy 5.5397 0.0000 0.0000
Dy 2.2178 3.8414 2.2760
Dy -2.7699 4.7976 0.0000
Dy 0.9998 1.7317 0.0000
Dy 3.1037 0.0000 2.2760
Ir 0.0000 4.3528 0.0000
Ir 3.7697 2.1764 0.0000
```

---

Dy5Ge10Ir4: optimized geometry, PBE.

extended XYZ file:
```
38
Lattice="13.0368 0.0000 0.0000 0.0000 13.0368 0.0000 0.0000 0.0000 4.3333" Properties=species:S:1:pos:R:3 pbc="T T T"
Ir 6.7799 9.7262 0.0000
Ir 9.7262 6.2570 0.0000
Ir 12.7754 3.2078 0.0000
Ir 0.2614 9.8291 0.0000
Ir 9.8291 12.7754 0.0000
Ir 3.2078 0.2614 0.0000
Ir 6.2570 3.3107 0.0000
Ir 3.3107 6.7799 0.0000
Ge 12.1608 5.6424 0.0000
Ge 8.6487 3.9112 0.0000
Ge 12.9582 2.0323 2.1667
Ge 3.9112 4.3882 0.0000
Ge 0.0787 11.0045 2.1667
Ge 0.8760 7.3945 0.0000
Ge 2.1302 2.6072 0.0000
Ge 9.1257 8.6487 0.0000
Ge 2.0323 0.0787 2.1667
Ge 4.3882 9.1257 0.0000
Ge 11.0045 12.9582 2.1667
Ge 7.3945 12.1608 0.0000
Ge 10.9066 10.4296 0.0000
Ge 10.4296 2.1302 0.0000
Ge 5.6424 0.8760 0.0000
Ge 2.6072 10.9066 0.0000
Ge 6.5971 8.5507 2.1667
Ge 6.4397 4.4861 2.1667
Ge 8.5507 6.4397 2.1667
Ge 4.4861 6.5971 2.1667
Dy 8.7861 10.7691 2.1667
Dy 2.2677 8.7861 2.1667
Dy 0.0000 0.0000 0.0000
Dy 6.5184 6.5184 0.0000
Dy 8.0193 1.5008 2.1667
Dy 5.0176 11.5360 2.1667
Dy 1.5008 5.0176 2.1667
Dy 4.2507 2.2677 2.1667
Dy 11.5360 8.0193 2.1667
Dy 10.7691 4.2507 2.1667
```

---

Dy6Ge2Ir: optimized geometry, PBE.

extended XYZ file:
```
9
Lattice="-5.4428 -0.1854 5.6264 0.9864 -6.1860 -4.6985 2.8702 -1.6109 2.7235" Properties=species:S:1:pos:R:3 pbc="T T T"
Dy -2.2060 -0.0751 2.2804
Dy 2.1745 -5.4422 -2.1600
Dy 0.3190 -2.4011 1.5941
Dy -2.6445 -0.9444 5.5790
Dy 0.3998 -2.5072 -1.9043
Dy -2.6502 -3.7890 0.5519
Ge 0.2785 -4.9912 0.1049
Ge -1.8646 -2.9910 3.5465
Ir 0.0000 0.0000 0.0000
```

---

DyGeIr: optimized geometry, PBE.

extended XYZ file:
```
12
Lattice="-4.6719 3.8328 -3.2570 -2.4264 -3.5116 -0.6519 -3.5939 1.2527 6.6292" Properties=species:S:1:pos:R:3 pbc="T T T"
Ir -4.2198 1.1266 2.4883
Ir -2.8139 -1.9301 -0.5790
Ir -6.4724 0.4473 0.2319
Ir -7.8782 3.5039 3.2993
Ge -4.7758 1.0340 5.0567
Ge -6.1083 2.6006 1.5773
Ge -4.5839 -1.0267 1.1430
Ge -5.9164 0.5399 -2.3364
Dy -6.3594 3.3196 -1.3613
Dy -7.0846 0.3156 3.2203
Dy -4.3328 -1.7457 4.0816
Dy -3.6076 1.2583 -0.5000
```

---

Tb2DyNiGe3Ir2: optimized geometry, PBE.

extended XYZ file:
```
9
Lattice="3.8786 0.0000 0.0000 0.0000 6.1217 3.5436 0.0000 -6.1217 3.5436" Properties=species:S:1:pos:R:3 pbc="T T T"
Ge 1.9393 -1.5195 6.2068
Ge 1.9393 1.5195 6.2068
Ge 1.9393 0.0000 1.7594
Ir 1.9393 2.0310 3.5448
Ir 1.9393 -2.0310 3.5448
Tb 0.0000 -2.4707 1.4302
Tb 0.0000 2.4707 1.4302
Ni 0.0000 0.0000 7.0801
Dy 0.0000 0.0000 4.2328
```

---

TbDy2NiGe3Ir2: optimized geometry, PBE.

extended XYZ file:
```
9
Lattice="3.8730 0.0000 0.0000 0.0000 6.1339 3.5331 0.0000 -6.1339 3.5331" Properties=species:S:1:pos:R:3 pbc="T T T"
Ge 1.9365 -4.6057 2.6542
Ge 1.9365 4.6057 2.6542
Ge 1.9365 0.0000 1.7588
Dy 0.0000 -2.4665 1.4207
Dy 0.0000 2.4665 1.4207
Ir 1.9365 2.0536 3.5318
Ir 1.9365 -2.0536 3.5318
Tb 0.0000 0.0000 4.2198
Ni 0.0000 0.0000 0.0064
```

---

DyTm2NiGe3Ir2: optimized geometry, PBE.

extended XYZ file:
```
9
Lattice="3.8310 0.0000 0.0000 0.0000 6.1191 3.5078 0.0000 -6.1191 3.5078" Properties=species:S:1:pos:R:3 pbc="T T T"
Ge 1.9155 0.0000 5.2562
Ge 1.9155 -4.5810 4.3844
Ge 1.9155 4.5810 4.3844
Dy 0.0000 0.0000 2.8117
Ni 0.0000 0.0000 6.9980
Tm 0.0000 3.6770 2.1092
Tm 0.0000 -3.6770 2.1092
Ir 1.9155 -2.0644 3.5123
Ir 1.9155 2.0644 3.5123
```

---

no.,E_tot (eV per atom)
1,-6.601
2,-6.129
3,-6.284
4,-5.751
5,-6.959
6,-6.464
7,-6.465
8,-6.450